# 1
{"formula": "K4RhPb", "functional": "PBE-GGA", "state": "optimized geometry", "ef_ev_per_atom": 0.687, "final_energy_ev_per_cell": -11.33, "cell": [[0.000, 4.722, 4.722], [4.722, 0.000, 4.722], [4.722, 4.722, 0.000]], "species": ["K", "K", "K", "K", "Rh", "Pb"], "fractional_positions": [[0.376, 0.376, 0.376], [0.376, 0.376, 0.873], [0.376, 0.873, 0.376], [0.873, 0.376, 0.376], [0.750, 0.750, 0.750], [0.000, 0.000, 0.000]]}


# 2
{"formula": "Mn2IrS4", "functional": "PBE-GGA", "state": "optimized geometry", "raw_formation_energy_ev_per_atom": -0.4677, "final_energy_ev_per_cell": -187.94, "cell": [[7.178, 0.000, 0.000], [0.000, 7.178, 0.000], [0.000, 0.000, 10.172]], "species": ["Mn", "Mn", "Mn", "Mn", "Mn", "Mn", "Mn", "Mn", "Ir", "Ir", "Ir", "Ir", "S", "S", "S", "S", "S", "S", "S", "S", "S", "S", "S", "S", "S", "S", "S", "S"], "fractional_positions": [[0.000, 0.250, 0.000], [0.000, 0.750, 0.500], [0.250, 0.000, 0.750], [0.256, 0.256, 0.375], [0.256, 0.744, 0.125], [0.744, 0.256, 0.625], [0.744, 0.744, 0.875], [0.750, 0.000, 0.250], [0.247, 0.500, 0.750], [0.500, 0.247, 0.000], [0.500, 0.753, 0.500], [0.753, 0.500, 0.250], [0.018, 0.256, 0.757], [0.018, 0.744, 0.743], [0.256, 0.018, 0.993], [0.256, 0.982, 0.507], [0.259, 0.475, 0.985], [0.259, 0.525, 0.515], [0.475, 0.259, 0.765], [0.475, 0.741, 0.735], [0.525, 0.259, 0.235], [0.525, 0.741, 0.265], [0.741, 0.475, 0.015], [0.741, 0.525, 0.485], [0.744, 0.018, 0.007], [0.744, 0.982, 0.493], [0.982, 0.256, 0.243], [0.982, 0.744, 0.257]]}